No. 1
ScCrCu3: optimized geometry, PBE-GGA.

Calculated formation energy in eV per atom: 0.7356
V in A^3/atom: 18.22
M_tot in μB/f.u.: 3.25
Crystal system: cubic
Theoretical density in Mg/m³: 5.2
Energy relative to the lowest polymorph listed for this composition in meV/atom: 0

```
data_ScCrCu3
_chemical_formula_sum 'Sc1 Cr1 Cu3'
_symmetry_space_group_name_H-M 'P m -3 m'
_symmetry_Int_Tables_number 221
_symmetry_space_group_name_Hall '-P 4 2 3'
_cell_length_a 4.499
_cell_length_b 4.499
_cell_length_c 4.499
_cell_angle_alpha 90.00
_cell_angle_beta 90.00
_cell_angle_gamma 90.00
loop_
_atom_site_label
_atom_site_fract_x
_atom_site_fract_y
_atom_site_fract_z
Sc1 0.000 0.000 0.000
Cr1 0.500 0.500 0.500
Cu1 0.000 0.500 0.500
```

---

No. 2
BaRu2Se: optimized geometry, PBE-GGA.

V in A^3/atom: 23.75
M_tot in μB/f.u.: 0.98
Crystal system: trigonal
Theoretical density in Mg/m³: 7.3
E_tot in hartree per atom: -0.219

```
data_BaRu2Se
_chemical_formula_sum 'Ba3 Ru6 Se3'
_symmetry_space_group_name_H-M 'R -3 m'
_symmetry_Int_Tables_number 166
_symmetry_space_group_name_Hall '-R 3 2"'
_cell_length_a 4.3565
_cell_length_b 4.3565
_cell_length_c 17.3378
_cell_angle_alpha 90.00
_cell_angle_beta 90.00
_cell_angle_gamma 120.00
loop_
_atom_site_label
_atom_site_fract_x
_atom_site_fract_y
_atom_site_fract_z
Ba1 0.0000 0.0000 0.0000
Ru1 0.0000 0.0000 0.1909
Se1 0.0000 0.0000 0.5000
```

---

No. 3
Ti3AlO: optimized geometry, PBE-GGA.

V in A^3/atom: 14.55
M_tot in μB/f.u.: 0.00
Crystal system: monoclinic
Theoretical density in Mg/m³: 4.3
E_tot in hartree per atom: -0.280

```
data_Ti3AlO
_chemical_formula_sum 'Ti12 Al4 O4'
_symmetry_space_group_name_H-M 'C 1 2/m 1'
_symmetry_Int_Tables_number 12
_cell_length_a 9.855
_cell_length_b 3.930
_cell_length_c 8.191
_cell_angle_alpha 90.00
_cell_angle_beta 113.45
_cell_angle_gamma 90.00
loop_
_symmetry_equiv_pos_as_xyz
'x,y,z'
'-x,-y,-z'
'-x,y,-z'
'x,-y,z'
'x+1/2,y+1/2,z'
'-x+1/2,-y+1/2,-z'
'-x+1/2,y+1/2,-z'
'x+1/2,-y+1/2,z'
loop_
_atom_site_label
_atom_site_fract_x
_atom_site_fract_y
_atom_site_fract_z
Ti1 0.135 0.000 0.445
Ti2 0.137 0.000 0.943
Ti3 0.146 0.500 0.202
Al1 0.118 0.500 0.681
O1 0.088 0.000 0.175
```

---

No. 4
Sc2Si2Hg: optimized geometry, PBE-GGA.

V in A^3/atom: 19.95
M_tot in μB/f.u.: 0.00
Crystal system: tetragonal
Theoretical density in Mg/m³: 5.8
Energy relative to the lowest polymorph listed for this composition in meV/atom: 211

```
data_Sc2Si2Hg
_chemical_formula_sum 'Sc4 Si4 Hg2'
_symmetry_space_group_name_H-M 'I 4/m m m'
_symmetry_Int_Tables_number 139
_symmetry_space_group_name_Hall '-I 4 2'
_cell_length_a 3.530
_cell_length_b 3.530
_cell_length_c 16.009
_cell_angle_alpha 90.00
_cell_angle_beta 90.00
_cell_angle_gamma 90.00
loop_
_atom_site_label
_atom_site_fract_x
_atom_site_fract_y
_atom_site_fract_z
Sc1 0.000 0.000 0.114
Si1 0.000 0.500 0.250
Hg1 0.000 0.000 0.500
```

---

No. 5
Zn4Fe: optimized geometry, PBE-GGA.

Calculated formation energy in eV per atom: 0.3042
V in A^3/atom: 15.23
M_tot in μB/f.u.: 2.42
Crystal system: tetragonal
Theoretical density in Mg/m³: 6.9
Energy relative to the lowest polymorph listed for this composition in meV/atom: 240

```
data_Zn4Fe
_chemical_formula_sum 'Zn8 Fe2'
_symmetry_space_group_name_H-M 'I 4/m m m'
_symmetry_Int_Tables_number 139
_symmetry_space_group_name_Hall '-I 4 2'
_cell_length_a 3.492
_cell_length_b 3.492
_cell_length_c 12.488
_cell_angle_alpha 90.00
_cell_angle_beta 90.00
_cell_angle_gamma 90.00
loop_
_atom_site_label
_atom_site_fract_x
_atom_site_fract_y
_atom_site_fract_z
Zn1 0.000 0.000 0.094
Zn2 0.000 0.500 0.250
Fe1 0.000 0.000 0.500
```

---

No. 6
RbMnC2: optimized geometry, PBE-GGA.

Calculated formation energy in eV per atom: 3.1081
V in A^3/atom: 13.48
M_tot in μB/f.u.: 0.00
Crystal system: cubic
Theoretical density in Mg/m³: 5.1

```
data_RbMnC2
_chemical_formula_sum 'Rb4 Mn4 C8'
_symmetry_space_group_name_H-M 'F m -3 m'
_symmetry_Int_Tables_number 225
_symmetry_space_group_name_Hall '-F 4 2 3'
_cell_length_a 5.997
_cell_length_b 5.997
_cell_length_c 5.997
_cell_angle_alpha 90.00
_cell_angle_beta 90.00
_cell_angle_gamma 90.00
loop_
_atom_site_label
_atom_site_fract_x
_atom_site_fract_y
_atom_site_fract_z
Rb1 0.000 0.000 0.000
Mn1 0.000 0.000 0.500
C1 0.250 0.250 0.250
```